Entry 1:
Computed, not measured: Ta2FePt after structural relaxation at the PBE level of DFT.

The calculation puts the volume at 15.98 A^3/atom. The energy above the most stable polymorph in this dataset is 3.2 kJ/mol of atoms. The total magnetization comes out at 0.00 μB per formula unit.

The space group is Amm2 (No. 38) and the conventional cell measures 4.203, 3.021 and 10.071 Å, with angles of 90.00, 90.00 and 90.00 degrees. The inequivalent atoms are Ta at (0.000, 0.000, 0.000), Ta at (0.500, 0.000, 0.307), Fe at (0.500, 0.000, 0.544) and Pt at (0.000, 0.000, 0.725).

=====

Entry 2:
Computed, not measured: Al2CoTe after structural relaxation at the PBE level of DFT.

The calculation puts the volume at 16.98 A^3/atom. The value obtained for the formation energy (no corrections) is 0.309 eV per atom. The total magnetization comes out at 0.37 μB per formula unit.

The space group is P4/mmm (No. 123) and the conventional cell measures 3.858, 3.858 and 4.564 Å, with angles of 90.00, 90.00 and 90.00 degrees. The inequivalent atoms are Al at (0.000, 0.500, 0.000), Co at (0.000, 0.000, 0.500) and Te at (0.500, 0.500, 0.500).

=====

Entry 3:
Computed, not measured: ZnCrGe2 after structural relaxation at the PBE level of DFT.

The calculation puts the volume at 16.68 A^3/atom. As for the calculated total energy: -4.46 eV/atom. The total magnetization comes out at 0.00 μB per formula unit.

The space group is I-42d (No. 122) and the conventional cell measures 7.090, 7.090 and 5.309 Å, with angles of 90.00, 90.00 and 90.00 degrees. The inequivalent atoms are Zn at (0.000, 0.000, 0.000), Cr at (0.000, 0.000, 0.500) and Ge at (0.223, 0.250, 0.625).

=====

Entry 4:
Computed, not measured: CrGaFe3 after structural relaxation at the PBE level of DFT.

The calculation puts the volume at 14.64 A^3/atom. The energy above the most stable polymorph in this dataset is 60.5 kJ/mol of atoms. The total magnetization comes out at 0.00 μB per formula unit.

The space group is Pm-3m (No. 221) and the conventional cell measures 4.183, 4.183 and 4.183 Å, with angles of 90.00, 90.00 and 90.00 degrees. The inequivalent atoms are Cr at (0.000, 0.000, 0.000), Ga at (0.500, 0.500, 0.500) and Fe at (0.000, 0.500, 0.500).